[1]
The following is a PBE calculation of a geometry-optimized Sr2CaPN structure, from Alexandria.

## Properties
Total DFT energy (no corrections) (eV/atom): -4.67
Total magnetic moment (μB per atom): 0.0000
Offset from the most stable computed form (kcal/mol of atoms): 0.00
Raw formation energy (eV/atom): -0.8525
Density (g cm⁻³): 3.5

a b c (Å): 5.0845 5.0845 4.7464
angles (deg): 90.00 90.00 90.00
Closest atoms and distances in Å follow each position.
Space group P4/mmm (No. 123)
Asymmetric unit:
Sr: 0.0000 0.5000 0.0000 x2  2 N 2.54
Ca: 0.0000 0.0000 0.5000 x1  2 N 2.37
P: 0.5000 0.5000 0.5000 x1  8 Sr 3.48, 4 Ca 3.60
N: 0.0000 0.0000 0.0000 x1  2 Ca 2.37, 4 Sr 2.54

***

[2]
The following is a PBE calculation of a geometry-optimized SmCu2Si structure, from Alexandria.

## Properties
Total DFT energy (no corrections) (eV/atom): -4.80
Total magnetic moment (μB per atom): 0.0000
Raw formation energy (eV/atom): -0.2129
Density (g cm⁻³): 6.6

a b c (Å): 3.7912 4.1471 4.9046
angles (deg): 90.00 90.00 90.00
Closest atoms and distances in Å follow each position.
Space group Pmmm (No. 47)
Asymmetric unit:
Sm: 0.0000 0.0000 0.0000 x1  8 Cu 3.07, 4 Si 3.10
Cu: 0.5000 0.5000 0.2520 x2  2 Si 2.40, 2 Cu 2.43-2.47
Si: 0.5000 0.0000 0.5000 x1  4 Cu 2.40

***

[3]
The following is a PBE calculation of a geometry-optimized U4TcRu2 structure, from Alexandria.

## Properties
Total DFT energy (no corrections) (eV/atom): -10.72
Total magnetic moment (μB per atom): 0.0000
ΔE_f (meV per atom): -142.4
Density (g cm⁻³): 16.1

a b c (Å): 15.3055 5.4637 6.2115
angles (deg): 90.00 94.26 90.00
Closest atoms and distances in Å follow each position.
Space group C2/c (No. 15)
Asymmetric unit:
U: 0.0752 0.1159 0.3689 x8  3 U 2.64-2.73
U: 0.1412 0.3218 0.0142 x8  2 Ru 2.58-2.71, 1 Tc 2.65, 2 U 2.72-2.73
Tc: 0.0000 0.3991 0.7500 x4  4 U 2.65-2.96
Ru: 0.2323 0.1462 0.6897 x8  2 U 2.58-2.71, 3 Ru 2.71-2.87